[1]
# meta-GGA SCAN KBa3Pd, PBEsol geometry
data_KBa3Pd
_chemical_formula_sum 'K1 Ba3 Pd1'
_symmetry_space_group_name_H-M 'P m -3 m'
_symmetry_Int_Tables_number 221
_symmetry_space_group_name_Hall '-P 4 2 3'
_cell_length_a 6.338
_cell_length_b 6.338
_cell_length_c 6.338
_cell_angle_alpha 90.00
_cell_angle_beta 90.00
_cell_angle_gamma 90.00
loop_
_atom_site_label
_atom_site_fract_x
_atom_site_fract_y
_atom_site_fract_z
K1 0.000 0.000 0.000
Ba1 0.000 0.500 0.500
Pd1 0.500 0.500 0.500
# energy	-160.96	eV per formula unit
# total moment	0.0	μB per formula unit


[2]
# meta-GGA SCAN LaZr2Cr, PBEsol geometry
data_LaZr2Cr
_chemical_formula_sum 'La2 Zr4 Cr2'
_symmetry_space_group_name_H-M 'I m m 2'
_symmetry_Int_Tables_number 44
_symmetry_space_group_name_Hall 'I 2 -2'
_cell_length_a 3.415
_cell_length_b 5.045
_cell_length_c 9.825
_cell_angle_alpha 90.00
_cell_angle_beta 90.00
_cell_angle_gamma 90.00
loop_
_atom_site_label
_atom_site_fract_x
_atom_site_fract_y
_atom_site_fract_z
La1 0.000 0.000 0.000
Zr1 0.000 0.000 0.576
Zr2 0.000 0.500 0.782
Cr1 0.000 0.500 0.274
# energy	-121.52	eV per formula unit
# total moment	1.7	μB per formula unit


[3]
# meta-GGA SCAN NiRh3, PBEsol geometry
data_NiRh3
_chemical_formula_sum 'Ni3 Rh9'
_symmetry_space_group_name_H-M 'R -3 m'
_symmetry_Int_Tables_number 166
_symmetry_space_group_name_Hall '-R 3 2"'
_cell_length_a 2.6465
_cell_length_b 2.6465
_cell_length_c 25.3919
_cell_angle_alpha 90.00
_cell_angle_beta 90.00
_cell_angle_gamma 120.00
loop_
_atom_site_label
_atom_site_fract_x
_atom_site_fract_y
_atom_site_fract_z
Ni1 0.0000 0.0000 0.0000
Rh1 0.0000 0.0000 0.2528
Rh2 0.0000 0.0000 0.5000
# energy	-117.36	eV per formula unit
# total moment	0.9	μB per formula unit


[4]
# meta-GGA SCAN KZn2Hg, PBEsol geometry
data_KZn2Hg
_chemical_formula_sum 'K3 Zn6 Hg3'
_symmetry_space_group_name_H-M 'R 3 m'
_symmetry_Int_Tables_number 160
_symmetry_space_group_name_Hall 'R 3 -2"'
_cell_length_a 4.5326
_cell_length_b 4.5326
_cell_length_c 18.1414
_cell_angle_alpha 90.00
_cell_angle_beta 90.00
_cell_angle_gamma 120.00
loop_
_atom_site_label
_atom_site_fract_x
_atom_site_fract_y
_atom_site_fract_z
K1 0.0000 0.0000 0.0000
Zn1 0.0000 0.0000 0.4937
Zn2 0.0000 0.0000 0.8159
Hg1 0.0000 0.0000 0.1889
# energy	-104.01	eV per formula unit
# total moment	0.0	μB per formula unit


[5]
# meta-GGA SCAN ZrTlP2, PBEsol geometry
data_ZrTlP2
_chemical_formula_sum 'Zr2 Tl2 P4'
_symmetry_space_group_name_H-M 'I 4/m m m'
_symmetry_Int_Tables_number 139
_symmetry_space_group_name_Hall '-I 4 2'
_cell_length_a 5.102
_cell_length_b 5.102
_cell_length_c 5.754
_cell_angle_alpha 90.00
_cell_angle_beta 90.00
_cell_angle_gamma 90.00
loop_
_atom_site_label
_atom_site_fract_x
_atom_site_fract_y
_atom_site_fract_z
Zr1 0.000 0.000 0.000
Tl1 0.000 0.000 0.500
P1 0.000 0.500 0.250
# energy	-124.28	eV per formula unit
# total moment	0.0	μB per formula unit


[6]
# meta-GGA SCAN Li2CoRu, PBEsol geometry
data_Li2CoRu
_chemical_formula_sum 'Li6 Co3 Ru3'
_symmetry_space_group_name_H-M 'R -3 m'
_symmetry_Int_Tables_number 166
_symmetry_space_group_name_Hall '-R 3 2"'
_cell_length_a 2.5372
_cell_length_b 2.5372
_cell_length_c 26.6021
_cell_angle_alpha 90.00
_cell_angle_beta 90.00
_cell_angle_gamma 120.00
loop_
_atom_site_label
_atom_site_fract_x
_atom_site_fract_y
_atom_site_fract_z
Li1 0.0000 0.0000 0.2484
Co1 0.0000 0.0000 0.5000
Ru1 0.0000 0.0000 0.0000
# energy	-56.25	eV per formula unit
# total moment	1.7	μB per formula unit